Density functional theory data (SCAN) for a crystal of MnCr4Br relaxed with PBEsol.

Results
Its symmetry is F-43m. As for the magnetization: 1.9 μB per formula unit. The calculation puts the uncorrected formation energy at 0.8462 eV/atom.

Cell lengths 4.7759, 4.7759, 4.7759 Å; angles 60.00, 60.00, 60.00 degrees
Closest atoms and distances in Å follow each position.
Positions (direct):
1 Br 0.0000 0.0000 0.0000  12 Cr 2.80, 4 Mn 2.92
2 Cr 0.3757 0.3757 0.3757  6 Cr 2.37-2.40
3 Cr 0.3757 0.3757 0.8729  6 Cr 2.37-2.40
4 Cr 0.8729 0.3757 0.3757  6 Cr 2.37-2.40
5 Cr 0.3757 0.8729 0.3757  6 Cr 2.37-2.40
6 Mn 0.7500 0.7500 0.7500  12 Cr 2.80, 4 Br 2.92